Entry 1:
Entry from Alexandria via LeMat-Bulk: a geometry-optimized LiZn2In2 structure (GGA-PBE).

a b c (Å): 7.8833 7.8833 3.5004
angles (deg): 90.00 90.00 90.00
Last column: nearest neighbours and their distance in Å.
Element x y z (fractional)
Li  0.0000  0.0000  0.0000  4 In 3.03
Li  0.5000  0.5000  0.0000  4 In 3.03
Zn  0.1564  0.3436  0.5000  6 In 2.83-2.95
Zn  0.3436  0.8436  0.5000  6 In 2.83-2.95
Zn  0.6564  0.1564  0.5000  6 In 2.83-2.95
Zn  0.8436  0.6564  0.5000  6 In 2.83-2.95
In  0.1440  0.6440  0.0000  6 Zn 2.83-2.95, 2 Li 3.03
In  0.3560  0.1440  0.0000  6 Zn 2.83-2.95, 2 Li 3.03
In  0.6440  0.8560  0.0000  6 Zn 2.83-2.95, 2 Li 3.03
In  0.8560  0.3560  0.0000  6 Zn 2.83-2.95, 2 Li 3.03

Values from the calculation:
energy: -19.45 eV/cell
polymorph energy (0 for the lowest one): 62 meV per atom
D(E_F): 0.27 states/eV/atom
space-group type: P4/mbm (127)
energy of formation: 0.043 eV/atom

=====

Entry 2:
Entry from Alexandria via LeMat-Bulk: a geometry-optimized KCd2CuAu structure (GGA-PBE).

a b c (Å): 5.1012 5.1012 5.1337
angles (deg): 90.00 90.00 90.00
Last column: nearest neighbours and their distance in Å.
Element x y z (fractional)
K  0.0000  0.0000  0.0000  4 Au 3.61, 8 Cd 3.62
Cd  0.0000  0.5000  0.5000  2 Cu 2.55
Cd  0.5000  0.0000  0.5000  2 Cu 2.55
Cu  0.5000  0.5000  0.5000  4 Cd 2.55, 2 Au 2.57
Au  0.5000  0.5000  0.0000  2 Cu 2.57

Values from the calculation:
energy: -10.37 eV/cell
D(E_F): 0.40 states/eV/atom
space-group type: P4/mmm (123)
energy of formation: -0.013 eV/atom

=====

Entry 3:
Entry from Alexandria via LeMat-Bulk: a geometry-optimized Pr3Nd3Tl2Pb structure (GGA-PBE).

a b c (Å): 8.8286 8.8286 4.3673
angles (deg): 90.00 90.00 120.00
Last column: nearest neighbours and their distance in Å.
Element x y z (fractional)
Pr  0.0000  0.7216  0.0000  2 Tl 3.21, 2 Pb 3.29
Pr  0.2784  0.2784  0.0000  2 Tl 3.21, 2 Pb 3.29
Pr  0.7216  0.0000  0.0000  2 Tl 3.21, 2 Pb 3.29
Nd  0.0000  0.3954  0.5000  4 Tl 3.48, 1 Pb 3.49, 6 Pr 3.61-3.80
Nd  0.3954  0.0000  0.5000  4 Tl 3.48, 1 Pb 3.49, 6 Pr 3.61-3.80
Nd  0.6046  0.6046  0.5000  4 Tl 3.48, 1 Pb 3.49, 6 Pr 3.61-3.80
Tl  0.3333  0.6667  0.0000  3 Pr 3.21, 6 Nd 3.48
Tl  0.6667  0.3333  0.0000  3 Pr 3.21, 6 Nd 3.48
Pb  0.0000  0.0000  0.5000  6 Pr 3.29, 3 Nd 3.49

Values from the calculation:
energy: -39.84 eV/cell
D(E_F): 1.47 states/eV/atom
space-group type: P-62m (189)
energy of formation: -0.306 eV/atom

=====

Entry 4:
Entry from Alexandria via LeMat-Bulk: a geometry-optimized TiBAuSe2 structure (GGA-PBE).

a b c (Å): 4.9185 4.9185 4.3361
angles (deg): 90.00 90.00 90.00
Last column: nearest neighbours and their distance in Å.
Element x y z (fractional)
Ti  0.0000  0.0000  0.0000  2 B 2.17
B  0.0000  0.0000  0.5000  2 Ti 2.17
Au  0.5000  0.5000  0.5000  8 Se 3.28, 4 B 3.48
Se  0.0000  0.5000  0.0000  2 Ti 2.46
Se  0.5000  0.0000  0.0000  2 Ti 2.46

Values from the calculation:
energy: -22.18 eV/cell
D(E_F): 0.77 states/eV/atom
space-group type: P4/mmm (123)

=====

Entry 5:
Entry from Alexandria via LeMat-Bulk: a geometry-optimized Na2CrBr6 structure (GGA-PBE).

a b c (Å): 6.6273 6.6273 12.5939
angles (deg): 90.00 90.00 90.00
Last column: nearest neighbours and their distance in Å.
Element x y z (fractional)
Na  0.0000  0.0000  0.1682  6 Br 2.95-3.05
Na  0.0000  0.0000  0.8318  6 Br 2.95-3.05
Na  0.5000  0.5000  0.3318  6 Br 2.95-3.05
Na  0.5000  0.5000  0.6682  6 Br 2.95-3.05
Cr  0.0000  0.0000  0.5000  6 Br 2.49
Cr  0.5000  0.5000  0.0000  6 Br 2.49
Br  0.1852  0.1852  0.3581  1 Cr 2.49
Br  0.1852  0.1852  0.6419  1 Cr 2.49
Br  0.2340  0.2340  0.0000  1 Cr 2.49
Br  0.2660  0.7340  0.5000  1 Cr 2.49
Br  0.3148  0.6852  0.1419  1 Cr 2.49
Br  0.3148  0.6852  0.8581  1 Cr 2.49
Br  0.6852  0.3148  0.1419  1 Cr 2.49
Br  0.6852  0.3148  0.8581  1 Cr 2.49
Br  0.7340  0.2660  0.5000  1 Cr 2.49
Br  0.7660  0.7660  0.0000  1 Cr 2.49
Br  0.8148  0.8148  0.3581  1 Cr 2.49
Br  0.8148  0.8148  0.6419  1 Cr 2.49

Values from the calculation:
energy: -61.41 eV/cell
D(E_F): 1.31 states/eV/atom
space-group type: P4_2/mnm (136)

=====

Entry 6:
Entry from Alexandria via LeMat-Bulk: a geometry-optimized PmTm6Sc3 structure (GGA-PBE).

a b c (Å): 6.6447 6.6447 6.6447
angles (deg): 91.70 91.70 91.70
Last column: nearest neighbours and their distance in Å.
Element x y z (fractional)
Pm  0.0000  0.0000  0.0000  2 Sc 2.89-2.90
Tm  0.0013  0.3432  0.6581  2 Sc 3.24, 1 Pm 3.27, 2 Tm 3.62
Tm  0.1648  0.8366  0.5010  3 Sc 3.20-3.33
Tm  0.3432  0.6581  0.0013  2 Sc 3.24, 1 Pm 3.27, 2 Tm 3.62
Tm  0.5010  0.1648  0.8366  3 Sc 3.20-3.33
Tm  0.6581  0.0013  0.3432  2 Sc 3.24, 1 Pm 3.27, 2 Tm 3.62
Tm  0.8366  0.5010  0.1648  3 Sc 3.20-3.33
Sc  0.2586  0.2586  0.2586  1 Sc 2.69, 1 Pm 2.89
Sc  0.4996  0.4996  0.4996  2 Sc 2.69
Sc  0.7402  0.7402  0.7402  1 Sc 2.69, 1 Pm 2.90

Values from the calculation:
energy: -48.57 eV/cell
polymorph energy (0 for the lowest one): 39 meV per atom
D(E_F): 1.81 states/eV/atom
space-group type: R3 (146)
energy of formation: 0.201 eV/atom

=====

Entry 7:
Entry from Alexandria via LeMat-Bulk: a geometry-optimized PmEuGdCd structure (GGA-PBE).

a b c (Å): 7.9008 7.9008 7.9008
angles (deg): 90.00 90.00 90.00
Last column: nearest neighbours and their distance in Å.
Element x y z (fractional)
Pm  0.0000  0.0000  0.0000  4 Gd 3.42, 4 Eu 3.42
Pm  0.0000  0.5000  0.5000  4 Gd 3.42, 4 Eu 3.42
Pm  0.5000  0.0000  0.5000  4 Gd 3.42, 4 Eu 3.42
Pm  0.5000  0.5000  0.0000  4 Gd 3.42, 4 Eu 3.42
Eu  0.2500  0.2500  0.2500  4 Cd 3.42, 4 Pm 3.42
Eu  0.2500  0.7500  0.7500  4 Cd 3.42, 4 Pm 3.42
Eu  0.7500  0.2500  0.7500  4 Cd 3.42, 4 Pm 3.42
Eu  0.7500  0.7500  0.2500  4 Cd 3.42, 4 Pm 3.42
Gd  0.2500  0.2500  0.7500  4 Cd 3.42, 4 Pm 3.42
Gd  0.2500  0.7500  0.2500  4 Cd 3.42, 4 Pm 3.42
Gd  0.7500  0.2500  0.2500  4 Cd 3.42, 4 Pm 3.42
Gd  0.7500  0.7500  0.7500  4 Cd 3.42, 4 Pm 3.42
Cd  0.0000  0.0000  0.5000  4 Gd 3.42, 4 Eu 3.42
Cd  0.0000  0.5000  0.0000  4 Gd 3.42, 4 Eu 3.42
Cd  0.5000  0.0000  0.0000  4 Gd 3.42, 4 Eu 3.42
Cd  0.5000  0.5000  0.5000  4 Gd 3.42, 4 Eu 3.42

Values from the calculation:
energy: -119.94 eV/cell
D(E_F): 1.64 states/eV/atom
space-group type: F-43m (216)
energy of formation: 0.009 eV/atom

=====

Entry 8:
Entry from Alexandria via LeMat-Bulk: a geometry-optimized Sr3VPb structure (GGA-PBE).

a b c (Å): 6.0405 6.0405 6.0405
angles (deg): 90.00 90.00 90.00
Last column: nearest neighbours and their distance in Å.
Element x y z (fractional)
Sr  0.0000  0.0000  0.5000  2 V 3.02
Sr  0.0000  0.5000  0.0000  2 V 3.02
Sr  0.5000  0.0000  0.0000  2 V 3.02
V  0.0000  0.0000  0.0000  6 Sr 3.02
Pb  0.5000  0.5000  0.5000  12 Sr 4.27

Values from the calculation:
energy: -15.18 eV/cell
polymorph energy (0 for the lowest one): 0 meV per atom
D(E_F): 0.64 states/eV/atom
space-group type: Pm-3m (221)
energy of formation: 0.539 eV/atom

=====

Entry 9:
Entry from Alexandria via LeMat-Bulk: a geometry-optimized TbPuVN3 structure (GGA-PBE).

a b c (Å): 7.1707 3.4042 7.4615
angles (deg): 90.00 95.47 90.00
Last column: nearest neighbours and their distance in Å.
Element x y z (fractional)
Tb  0.1559  0.2500  0.1623  5 N 2.35-2.52
Tb  0.8441  0.7500  0.8377  5 N 2.35-2.52
Pu  0.3748  0.7500  0.8229  3 N 2.27-2.36
Pu  0.6252  0.2500  0.1771  3 N 2.27-2.36
V  0.0961  0.2500  0.5941  4 N 1.88-1.98
V  0.9039  0.7500  0.4059  4 N 1.88-1.98
N  0.1039  0.2500  0.8470  1 V 1.88
N  0.1710  0.7500  0.5001  3 V 1.94-1.98
N  0.3979  0.7500  0.1279  3 Pu 2.27-2.36, 2 Tb 2.46
N  0.6021  0.2500  0.8721  3 Pu 2.27-2.36, 2 Tb 2.46
N  0.8290  0.2500  0.4999  3 V 1.94-1.98
N  0.8961  0.7500  0.1530  1 V 1.88

Values from the calculation:
energy: -119.70 eV/cell
D(E_F): 1.34 states/eV/atom
space-group type: P2_1/m (11)

=====

Entry 10:
Entry from Alexandria via LeMat-Bulk: a geometry-optimized MnOsCl3 structure (GGA-PBE).

a b c (Å): 4.8152 4.8152 4.8152
angles (deg): 90.00 90.00 90.00
Last column: nearest neighbours and their distance in Å.
Element x y z (fractional)
Mn  0.0000  0.0000  0.0000  12 Cl 3.40
Os  0.5000  0.5000  0.5000  6 Cl 2.41
Cl  0.0000  0.5000  0.5000  2 Os 2.41
Cl  0.5000  0.0000  0.5000  2 Os 2.41
Cl  0.5000  0.5000  0.0000  2 Os 2.41

Values from the calculation:
energy: -23.28 eV/cell
polymorph energy (0 for the lowest one): 0 meV per atom
D(E_F): 0.81 states/eV/atom
space-group type: Pm-3m (221)